Below is a relaxed structure of PrMgHgBi, with properties calculated at the PBE level.

Cell lengths 5.4048, 5.4048, 5.4048 Å; angles 60.00, 60.00, 60.00 degrees
Element x y z (fractional)
Pr  0.5000  0.5000  0.5000
Mg  0.0000  0.0000  0.0000
Bi  0.7500  0.7500  0.7500
Hg  0.2500  0.2500  0.2500

Results
Formation enthalpy at 0 K ... -0.3752 eV/atom
ρ ... 8.55 g/cm3